No. 1
First-principles (GGA-PBE) data for crystalline MoRu3 at its relaxed geometry, as listed in Alexandria.

Cell lengths 4.763, 8.792, 5.493 Å; angles 90.00, 90.00, 90.00 degrees
Sites, in units of the cell vectors:
1 Mo 0.086 0.250 0.116
2 Mo 0.414 0.750 0.616
3 Mo 0.586 0.250 0.384
4 Mo 0.914 0.750 0.884
5 Ru 0.084 0.250 0.620
6 Ru 0.243 0.501 0.372
7 Ru 0.243 0.999 0.372
8 Ru 0.257 0.001 0.872
9 Ru 0.257 0.499 0.872
10 Ru 0.416 0.750 0.120
11 Ru 0.584 0.250 0.880
12 Ru 0.743 0.501 0.128
13 Ru 0.743 0.999 0.128
14 Ru 0.757 0.001 0.628
15 Ru 0.757 0.499 0.628
16 Ru 0.916 0.750 0.380

Values from the calculation:
formation energy from the elements = 1.13 kJ/mol of atoms
E above lowest polymorph = 26 kJ/mol of formula units
N(E_F) = 0.92 states/eV per atom
density = 11.52 g cm⁻³


No. 2
First-principles (GGA-PBE) data for crystalline La6Ge2Te3S at its relaxed geometry, as listed in Alexandria.

Cell lengths 10.070, 10.070, 9.014 Å; angles 104.60, 104.60, 25.50 degrees
Sites, in units of the cell vectors:
1 La 0.006 0.006 0.234
2 La 0.328 0.328 0.431
3 La 0.340 0.340 0.904
4 La 0.660 0.660 0.096
5 La 0.672 0.672 0.569
6 La 0.994 0.994 0.766
7 Ge 0.164 0.164 0.328
8 Ge 0.836 0.836 0.672
9 Te 0.167 0.167 0.833
10 Te 0.500 0.500 0.500
11 Te 0.833 0.833 0.167
12 S 0.500 0.500 0.000

Values from the calculation:
formation energy from raw total energies = -17.9 eV/f.u.
N(E_F) = 0.41 states/eV per atom
density = 6.09 g cm⁻³


No. 3
First-principles (GGA-PBE) data for crystalline BeNbRe2Ni at its relaxed geometry, as listed in Alexandria.

Cell lengths 4.106, 4.106, 4.298 Å; angles 90.00, 90.00, 90.00 degrees
Sites, in units of the cell vectors:
1 Be 0.000 0.000 0.000
2 Nb 0.000 0.000 0.500
3 Re 0.000 0.500 0.000
4 Re 0.500 0.000 0.000
5 Ni 0.500 0.500 0.500

Values from the calculation:
formation energy from the elements = 66.85 kJ/mol of atoms
N(E_F) = 0.86 states/eV per atom
density = 12.22 g cm⁻³